Density functional theory data (meta-GGA SCAN) for a PBEsol-optimized structure of LiMn2P.

Geometry as extended XYZ:
```
4
Lattice="-1.1296 -2.9900 1.0033 2.0225 0.2414 2.9964 -2.7467 1.6160 1.7237" Properties=species:S:1:pos:R:3 pbc="T T T"
Li -0.5648 -1.4950 0.5017
Mn -1.3733 0.8080 0.8619
Mn 1.0112 0.1207 1.4982
P -0.9269 -0.5663 2.8617
```

The value obtained for the total energy is -50.6 eV/cell. The formation enthalpy at 0 K is -0.3190 eV per atom. Its space-group type is P4/mmm.